First-principles (PBEsol) data for a relaxed structure of SrCr3Hg, as listed in the Alexandria database.

## Properties
**Theoretical density**: 5.4 g cm⁻³
**Formation enthalpy at 0 K**: 1.26 eV per atom
**Total DFT energy (no corrections)**: -26.84 eV per cell
**Density of states at the Fermi level**: 4.41 states/eV per cell

Unit cell a=5.154 b=5.154 c=5.154 alpha=90.00 beta=90.00 gamma=90.00
Positions (direct):
Sr  0.000  0.000  0.000
Cr  0.000  0.500  0.500
Cr  0.500  0.000  0.500
Cr  0.500  0.500  0.000
Hg  0.500  0.500  0.500